Compound: OsPt2Rh9
Source: Alexandria via LeMat-Bulk
Functional: PBE
Structure: optimized geometry

Lattice parameters (Å, degrees): 3.857 3.857 11.617 90.00 90.00 90.00
Sites, in units of the cell vectors:
Os: 0.000 0.000 0.000
Pt: 0.000 0.000 0.335
Pt: 0.000 0.000 0.665
Rh: 0.000 0.500 0.162
Rh: 0.000 0.500 0.500
Rh: 0.000 0.500 0.838
Rh: 0.500 0.000 0.162
Rh: 0.500 0.000 0.500
Rh: 0.500 0.000 0.838
Rh: 0.500 0.500 0.000
Rh: 0.500 0.500 0.331
Rh: 0.500 0.500 0.669

## Properties
total moment	0.000	μB per cell
energy of formation	-14	kJ/mol of formula units
space-group type	P4/mmm
total DFT energy (no corrections)	-0.27444	hartree per atom

Compound: Y2ZrF
Source: Alexandria via LeMat-Bulk
Functional: PBE
Structure: optimized geometry

Lattice parameters (Å, degrees): 10.262 10.262 10.262 18.12 18.12 18.12
Sites, in units of the cell vectors:
Y: 0.105 0.105 0.105
Y: 0.895 0.895 0.895
Zr: 0.000 0.000 0.000
F: 0.500 0.500 0.500

## Properties
ΔE_f (raw)	-0.762	eV/atom
total moment	0.000	μB per cell
space-group type	R-3m
total DFT energy (no corrections)	-0.24252	hartree per atom

Compound: TeMoSCl2
Source: Alexandria via LeMat-Bulk
Functional: PBE
Structure: optimized geometry

Lattice parameters (Å, degrees): 5.130 5.130 5.682 90.00 90.00 90.00
Sites, in units of the cell vectors:
Te: 0.000 0.000 0.000
Mo: 0.000 0.000 0.500
S: 0.500 0.500 0.500
Cl: 0.000 0.500 0.000
Cl: 0.500 0.000 0.000

## Properties
ΔE_f (raw)	0.877	eV/atom
total moment	2.889	μB per cell
space-group type	P4/mmm
total DFT energy (no corrections)	-0.12793	hartree per atom

Compound: SnPCl2O
Source: Alexandria via LeMat-Bulk
Functional: PBE
Structure: optimized geometry

Lattice parameters (Å, degrees): 4.590 4.590 4.387 90.00 90.00 90.00
Sites, in units of the cell vectors:
Sn: 0.000 0.000 0.000
P: 0.500 0.500 0.000
Cl: 0.000 0.500 0.500
Cl: 0.500 0.000 0.500
O: 0.500 0.500 0.500

## Properties
ΔE_f (raw)	0.326	eV/atom
total moment	0.000	μB per cell
space-group type	P4/mmm
total DFT energy (no corrections)	-0.12077	hartree per atom

> The highest total moment belongs to which entry?

TeMoSCl2

What did the third record say?
Compound: TeMoSCl2
Source: Alexandria via LeMat-Bulk
Functional: PBE
Structure: optimized geometry

Lattice parameters (Å, degrees): 5.130 5.130 5.682 90.00 90.00 90.00
Sites, in units of the cell vectors:
Te: 0.000 0.000 0.000
Mo: 0.000 0.000 0.500
S: 0.500 0.500 0.500
Cl: 0.000 0.500 0.000
Cl: 0.500 0.000 0.000

## Properties
ΔE_f (raw)	0.877	eV/atom
total moment	2.889	μB per cell
space-group type	P4/mmm
total DFT energy (no corrections)	-0.12793	hartree per atom

> Which value of total moment does entry 1 give?

0.000 μB per cell

What did the first record say?
Compound: OsPt2Rh9
Source: Alexandria via LeMat-Bulk
Functional: PBE
Structure: optimized geometry

Lattice parameters (Å, degrees): 3.857 3.857 11.617 90.00 90.00 90.00
Sites, in units of the cell vectors:
Os: 0.000 0.000 0.000
Pt: 0.000 0.000 0.335
Pt: 0.000 0.000 0.665
Rh: 0.000 0.500 0.162
Rh: 0.000 0.500 0.500
Rh: 0.000 0.500 0.838
Rh: 0.500 0.000 0.162
Rh: 0.500 0.000 0.500
Rh: 0.500 0.000 0.838
Rh: 0.500 0.500 0.000
Rh: 0.500 0.500 0.331
Rh: 0.500 0.500 0.669

## Properties
total moment	0.000	μB per cell
energy of formation	-14	kJ/mol of formula units
space-group type	P4/mmm
total DFT energy (no corrections)	-0.27444	hartree per atom